{"formula": "LaTaTeI2", "functional": "GGA-PBE", "state": "relaxed", "lattice_angstrom": [[5.462, 0.000, 0.000], [0.000, 5.462, 0.000], [0.000, 0.000, 5.431]], "species": ["La", "Ta", "Te", "I", "I"], "fractional_positions": [[0.000, 0.000, 0.000], [0.500, 0.500, 0.500], [0.500, 0.500, 0.000], [0.000, 0.500, 0.500], [0.500, 0.000, 0.500]], "polymorph_energy_mev_per_atom": 0, "magnetic_moment_mub_per_fu": 2.0, "vol_a3_per_cell": 162, "density_g_cm3": 7.19, "final_energy_ev_per_atom": -4.59, "raw_formation_energy_ev_per_atom": 0.015}



{"formula": "ZrCu4", "functional": "GGA-PBE", "state": "relaxed", "lattice_angstrom": [[-1.790, 1.790, 5.741], [1.790, -1.790, 5.741], [1.790, 1.790, -5.741]], "species": ["Zr", "Cu", "Cu", "Cu", "Cu"], "fractional_positions": [[0.000, 0.000, 0.000], [0.250, 0.750, 0.500], [0.396, 0.396, 0.000], [0.604, 0.604, 0.000], [0.750, 0.250, 0.500]], "e_form_ev_per_atom": 0.0077, "magnetic_moment_mub_per_fu": 0.0, "vol_a3_per_cell": 74, "density_g_cm3": 7.80, "final_energy_ev_per_atom": -4.98}



{"formula": "ErTmPb6", "functional": "GGA-PBE", "state": "relaxed", "lattice_angstrom": [[4.865, 0.000, 0.000], [0.000, 4.865, 0.000], [0.000, 0.000, 9.739]], "species": ["Er", "Tm", "Pb", "Pb", "Pb", "Pb", "Pb", "Pb"], "fractional_positions": [[0.000, 0.000, 0.000], [0.000, 0.000, 0.500], [0.000, 0.500, 0.250], [0.000, 0.500, 0.750], [0.500, 0.000, 0.250], [0.500, 0.000, 0.750], [0.500, 0.500, 0.000], [0.500, 0.500, 0.500]], "e_form_ev_per_atom": -0.2277, "magnetic_moment_mub_per_fu": 0.0, "vol_a3_per_cell": 230, "density_g_cm3": 11.38, "final_energy_ev_per_atom": -4.14}



{"formula": "MnTlCl4", "functional": "GGA-PBE", "state": "relaxed", "lattice_angstrom": [[5.023, -6.172, 0.000], [5.023, 6.172, 0.000], [0.000, 0.000, 7.359]], "species": ["Mn", "Mn", "Tl", "Tl", "Cl", "Cl", "Cl", "Cl", "Cl", "Cl", "Cl", "Cl"], "fractional_positions": [[0.000, 0.000, 0.250], [0.000, 0.000, 0.750], [0.000, 0.500, 0.000], [0.500, 0.000, 0.500], [0.167, 0.171, 0.500], [0.171, 0.167, 0.000], [0.183, 0.817, 0.250], [0.183, 0.817, 0.750], [0.817, 0.183, 0.250], [0.817, 0.183, 0.750], [0.829, 0.833, 0.000], [0.833, 0.829, 0.500]], "polymorph_energy_mev_per_atom": 0, "magnetic_moment_mub_per_fu": 4.0, "vol_a3_per_cell": 456, "density_g_cm3": 2.92, "final_energy_ev_per_atom": -4.12, "raw_formation_energy_ev_per_atom": -0.970}



{"formula": "Sm6Ga3Rh", "functional": "GGA-PBE", "state": "relaxed", "lattice_angstrom": [[8.834, 0.000, 0.000], [0.000, 11.645, 0.000], [0.000, 0.000, 5.141]], "species": ["Sm", "Sm", "Sm", "Sm", "Sm", "Sm", "Sm", "Sm", "Sm", "Sm", "Sm", "Sm", "Ga", "Ga", "Ga", "Ga", "Ga", "Ga", "Rh", "Rh"], "fractional_positions": [[0.003, 0.246, 0.000], [0.161, 0.086, 0.500], [0.177, 0.420, 0.500], [0.323, 0.920, 0.000], [0.339, 0.586, 0.000], [0.497, 0.746, 0.500], [0.503, 0.254, 0.500], [0.661, 0.414, 0.000], [0.677, 0.080, 0.000], [0.823, 0.580, 0.500], [0.839, 0.914, 0.500], [0.997, 0.754, 0.000], [0.000, 0.500, 0.000], [0.162, 0.734, 0.500], [0.338, 0.234, 0.000], [0.500, 0.000, 0.500], [0.662, 0.766, 0.000], [0.838, 0.266, 0.500], [0.000, 0.000, 0.000], [0.500, 0.500, 0.500]], "e_form_ev_per_atom": -0.4518, "magnetic_moment_mub_per_fu": 0.0, "vol_a3_per_cell": 529, "density_g_cm3": 7.63, "final_energy_ev_per_atom": -4.93}



{"formula": "AlCoCl2", "functional": "GGA-PBE", "state": "relaxed", "lattice_angstrom": [[1.622, 0.936, 8.658], [-1.622, 0.936, 8.658], [0.000, -1.873, 8.658]], "species": ["Al", "Co", "Cl", "Cl"], "fractional_positions": [[0.000, 0.000, 0.000], [0.266, 0.266, 0.266], [0.546, 0.546, 0.546], [0.730, 0.730, 0.730]], "polymorph_energy_mev_per_atom": 0, "magnetic_moment_mub_per_fu": 2.0, "vol_a3_per_cell": 79, "density_g_cm3": 3.30, "final_energy_ev_per_atom": -4.20, "raw_formation_energy_ev_per_atom": -0.560}



{"formula": "NiSb2TeIr", "functional": "GGA-PBE", "state": "relaxed", "lattice_angstrom": [[5.028, 0.000, 0.000], [0.000, 5.028, 0.000], [0.000, 0.000, 5.547]], "species": ["Ni", "Sb", "Sb", "Te", "Ir"], "fractional_positions": [[0.000, 0.000, 0.000], [0.000, 0.500, 0.500], [0.500, 0.000, 0.500], [0.500, 0.500, 0.000], [0.500, 0.500, 0.500]], "polymorph_energy_mev_per_atom": 127, "magnetic_moment_mub_per_fu": 0.7, "vol_a3_per_cell": 140, "density_g_cm3": 7.37, "final_energy_ev_per_atom": -4.31, "raw_formation_energy_ev_per_atom": 0.892}



{"formula": "Rb2MgZnP2", "functional": "GGA-PBE", "state": "relaxed", "lattice_angstrom": [[-3.093, 8.183, 3.116], [3.093, -8.183, 3.116], [3.093, 8.183, -3.116]], "species": ["Rb", "Rb", "Rb", "Rb", "Mg", "Mg", "Zn", "Zn", "P", "P", "P", "P"], "fractional_positions": [[0.173, 0.244, 0.417], [0.327, 0.744, 0.071], [0.673, 0.256, 0.929], [0.827, 0.756, 0.583], [0.250, 0.750, 0.500], [0.750, 0.250, 0.500], [0.250, 0.250, 0.000], [0.750, 0.750, 0.000], [0.085, 0.760, 0.845], [0.415, 0.260, 0.675], [0.585, 0.740, 0.325], [0.915, 0.240, 0.155]], "e_form_ev_per_atom": -0.4902, "magnetic_moment_mub_per_fu": 0.0, "vol_a3_per_cell": 316, "density_g_cm3": 3.40, "final_energy_ev_per_atom": -3.09}



{"formula": "K2CdInSb2", "functional": "GGA-PBE", "state": "relaxed", "lattice_angstrom": [[-3.614, 8.010, 3.630], [3.614, -8.010, 3.630], [3.614, 8.010, -3.630]], "species": ["K", "K", "K", "K", "Cd", "Cd", "In", "In", "Sb", "Sb", "Sb", "Sb"], "fractional_positions": [[0.168, 0.249, 0.417], [0.332, 0.749, 0.082], [0.668, 0.251, 0.918], [0.832, 0.751, 0.583], [0.250, 0.250, 0.000], [0.750, 0.750, 0.000], [0.250, 0.750, 0.500], [0.750, 0.250, 0.500], [0.103, 0.756, 0.858], [0.397, 0.256, 0.653], [0.603, 0.744, 0.347], [0.897, 0.244, 0.142]], "magnetic_moment_mub_per_fu": 0.0, "vol_a3_per_cell": 420, "density_g_cm3": 4.34, "final_energy_ev_per_atom": -2.72, "raw_formation_energy_ev_per_atom": -0.367}



{"formula": "TbPm2PrHo4", "functional": "GGA-PBE", "state": "relaxed", "lattice_angstrom": [[7.190, 0.000, 0.000], [0.000, 10.046, 0.000], [-0.032, 0.000, 7.198]], "species": ["Tb", "Tb", "Pm", "Pm", "Pm", "Pm", "Pr", "Pr", "Ho", "Ho", "Ho", "Ho", "Ho", "Ho", "Ho", "Ho"], "fractional_positions": [[0.000, 0.000, 0.000], [0.000, 0.000, 0.500], [0.000, 0.500, 0.000], [0.500, 0.000, 0.000], [0.500, 0.500, 0.000], [0.500, 0.500, 0.500], [0.000, 0.500, 0.500], [0.500, 0.000, 0.500], [0.249, 0.248, 0.249], [0.249, 0.248, 0.751], [0.249, 0.752, 0.249], [0.249, 0.752, 0.751], [0.751, 0.248, 0.249], [0.751, 0.248, 0.751], [0.751, 0.752, 0.249], [0.751, 0.752, 0.751]], "e_form_ev_per_atom": 0.0154, "magnetic_moment_mub_per_fu": 0.0, "vol_a3_per_cell": 520, "density_g_cm3": 7.98, "final_energy_ev_per_atom": -4.64}



{"formula": "IrSCl2", "functional": "GGA-PBE", "state": "relaxed", "lattice_angstrom": [[-4.991, 4.991, 2.176], [4.991, -4.991, 2.176], [4.991, 4.991, -2.176]], "species": ["Ir", "Ir", "S", "S", "Cl", "Cl", "Cl", "Cl"], "fractional_positions": [[0.000, 0.000, 0.000], [0.750, 0.250, 0.500], [0.250, 0.750, 0.500], [0.500, 0.500, 0.000], [0.375, 0.127, 0.252], [0.873, 0.125, 0.248], [0.875, 0.123, 0.748], [0.877, 0.625, 0.752]], "polymorph_energy_mev_per_atom": 0, "magnetic_moment_mub_per_fu": 0.0, "vol_a3_per_cell": 217, "density_g_cm3": 4.52, "final_energy_ev_per_atom": -3.97, "raw_formation_energy_ev_per_atom": 0.197}



{"formula": "CoPSe2", "functional": "GGA-PBE", "state": "relaxed", "lattice_angstrom": [[3.213, 0.000, 0.000], [0.000, 3.213, 0.000], [0.000, 0.000, 7.206]], "species": ["Co", "P", "Se", "Se"], "fractional_positions": [[0.000, 0.000, 0.000], [0.500, 0.500, 0.094], [0.000, 0.000, 0.331], [0.500, 0.500, 0.773]], "magnetic_moment_mub_per_fu": 0.0, "vol_a3_per_cell": 74, "density_g_cm3": 5.53, "final_energy_ev_per_atom": -4.68, "raw_formation_energy_ev_per_atom": 0.192}